## NiHgTe2 (PBE-GGA)

Data for a relaxed NiHgTe2 crystal.

Cell: 5.237 5.237 5.237 Å, 125.43 125.43 80.83°
Positions (direct):
Hg1 0.250 0.750 0.500
Ni1 0.750 0.250 0.500
Te1 0.000 0.000 0.000
Te2 0.500 0.500 0.000

## Properties
* raw total energy: -0.1905 Ry per atom
* symmetry: I4/mmm, No. 139
* ΔE_f (raw): 499 meV/atom

## HfTiNb2N4 (PBE-GGA)

Data for a relaxed HfTiNb2N4 crystal.

Cell: 3.137 5.381 5.457 Å, 109.33 90.00 90.00°
Positions (direct):
Hf1 0.500 0.500 0.000
Ti1 0.000 0.000 0.000
Nb1 0.500 0.000 0.500
Nb2 0.000 0.500 0.500
N1 0.500 0.239 0.236
N2 0.500 0.761 0.764
N3 0.000 0.248 0.762
N4 0.000 0.752 0.238

## Properties
* raw total energy: -0.7531 Ry per atom
* symmetry: P2/m, No. 10
* ΔE_f (raw): -1336 meV/atom